Record 1
# PBE LaHoOsPd, optimized geometry
data_LaHoOsPd
_cell_length_a 7.053
_cell_length_b 7.053
_cell_length_c 7.053
_cell_angle_alpha 90.00
_cell_angle_beta 90.00
_cell_angle_gamma 90.00
_space_group_name_H-M_alt 'F -4 3 m'
_space_group_IT_number 216
_space_group_name_Hall 'F -4 2 3'
loop_
_atom_site_label
_atom_site_type_symbol
_atom_site_fract_x
_atom_site_fract_y
_atom_site_fract_z
_atom_site_occupancy
La1 La 0.000 0.000 0.000 1
Ho1 Ho 0.000 0.000 0.500 1
Os1 Os 0.250 0.250 0.750 1
Pd1 Pd 0.250 0.250 0.250 1
# - Crystal system: cubic
# - DFT total energy: -6.900 eV per atom
# - ΔH_f (0 K): -0.42 eV/atom



Record 2
# PBE LaHoZnOs, optimized geometry
data_LaHoZnOs
_cell_length_a 7.108
_cell_length_b 7.108
_cell_length_c 7.108
_cell_angle_alpha 90.00
_cell_angle_beta 90.00
_cell_angle_gamma 90.00
_space_group_name_H-M_alt 'F -4 3 m'
_space_group_IT_number 216
_space_group_name_Hall 'F -4 2 3'
loop_
_atom_site_label
_atom_site_type_symbol
_atom_site_fract_x
_atom_site_fract_y
_atom_site_fract_z
_atom_site_occupancy
La1 La 0.000 0.000 0.000 1
Ho1 Ho 0.000 0.000 0.500 1
Zn1 Zn 0.250 0.250 0.750 1
Os1 Os 0.250 0.250 0.250 1
# - Crystal system: cubic
# - DFT total energy: -5.679 eV per atom
# - ΔH_f (0 K): -0.18 eV/atom



Record 3
# PBE LaHo2P, optimized geometry
data_LaHo2P
_cell_length_a 3.7278
_cell_length_b 3.7278
_cell_length_c 31.1065
_cell_angle_alpha 90.00
_cell_angle_beta 90.00
_cell_angle_gamma 120.00
_space_group_name_H-M_alt 'R -3 m'
_space_group_IT_number 166
_space_group_name_Hall '-R 3 2"'
loop_
_atom_site_label
_atom_site_type_symbol
_atom_site_fract_x
_atom_site_fract_y
_atom_site_fract_z
_atom_site_occupancy
La1 La 0.0000 0.0000 0.0000 1
Ho1 Ho 0.0000 0.0000 0.1145 1
P1 P 0.0000 0.0000 0.5000 1
# - Crystal system: trigonal
# - DFT total energy: -5.443 eV per atom
# - ΔH_f (0 K): -0.57 eV/atom



Record 4
# PBE La2HoP3, optimized geometry
data_La2HoP3
_cell_length_a 4.194
_cell_length_b 4.194
_cell_length_c 17.728
_cell_angle_alpha 90.00
_cell_angle_beta 90.00
_cell_angle_gamma 90.00
_space_group_name_H-M_alt 'I 4/m m m'
_space_group_IT_number 139
_space_group_name_Hall '-I 4 2'
loop_
_atom_site_label
_atom_site_type_symbol
_atom_site_fract_x
_atom_site_fract_y
_atom_site_fract_z
_atom_site_occupancy
La1 La 0.000 0.000 0.165 1
Ho1 Ho 0.000 0.000 0.500 1
P1 P 0.000 0.000 0.000 1
P2 P 0.000 0.000 0.338 1
# - Crystal system: tetragonal
# - DFT total energy: -6.660 eV per atom
# - ΔH_f (0 K): -1.55 eV/atom



Record 5
# PBE LaHo4P5, optimized geometry
data_LaHo4P5
_cell_length_a 13.411
_cell_length_b 4.048
_cell_length_c 9.921
_cell_angle_alpha 90.00
_cell_angle_beta 119.50
_cell_angle_gamma 90.00
_space_group_name_H-M_alt 'C 1 2/m 1'
_space_group_IT_number 12
loop_
_space_group_symop_operation_xyz
'x,y,z'
'-x,-y,-z'
'-x,y,-z'
'x,-y,z'
'x+1/2,y+1/2,z'
'-x+1/2,-y+1/2,-z'
'-x+1/2,y+1/2,-z'
'x+1/2,-y+1/2,z'
loop_
_atom_site_label
_atom_site_type_symbol
_atom_site_fract_x
_atom_site_fract_y
_atom_site_fract_z
_atom_site_occupancy
La1 La 0.000 0.000 0.000 1
Ho1 Ho 0.098 0.500 0.400 1
Ho2 Ho 0.200 0.000 0.795 1
P1 P 0.000 0.000 0.500 1
P2 P 0.106 0.500 0.895 1
P3 P 0.203 0.000 0.308 1
# - Crystal system: monoclinic
# - DFT total energy: -6.618 eV per atom
# - ΔH_f (0 K): -1.59 eV/atom



Record 6
# PBE La5Ho3P8, optimized geometry
data_La5Ho3P8
_cell_length_a 8.3406
_cell_length_b 8.3406
_cell_length_c 20.4222
_cell_angle_alpha 90.00
_cell_angle_beta 90.00
_cell_angle_gamma 120.00
_space_group_name_H-M_alt 'R -3 m'
_space_group_IT_number 166
_space_group_name_Hall '-R 3 2"'
loop_
_atom_site_label
_atom_site_type_symbol
_atom_site_fract_x
_atom_site_fract_y
_atom_site_fract_z
_atom_site_occupancy
La1 La 0.0000 0.0000 0.0000 1
La2 La 0.0000 0.0000 0.5000 1
La3 La 0.0000 0.5000 0.0000 1
Ho1 Ho 0.0000 0.5000 0.5000 1
P1 P 0.0000 0.0000 0.2452 1
P2 P 0.0069 0.5034 0.7534 1
# - Crystal system: trigonal
# - DFT total energy: -6.670 eV per atom
# - ΔH_f (0 K): -1.57 eV/atom



Record 7
# PBE LaHoP, optimized geometry
data_LaHoP
_cell_length_a 3.9778
_cell_length_b 3.9778
_cell_length_c 6.7376
_cell_angle_alpha 90.00
_cell_angle_beta 90.00
_cell_angle_gamma 120.00
_space_group_name_H-M_alt 'P 3 m 1'
_space_group_IT_number 156
loop_
_space_group_symop_operation_xyz
'x,y,z'
'-y,x-y,z'
'-x+y,-x,z'
'-y,-x,z'
'-x+y,y,z'
'x,x-y,z'
loop_
_atom_site_label
_atom_site_type_symbol
_atom_site_fract_x
_atom_site_fract_y
_atom_site_fract_z
_atom_site_occupancy
La1 La 0.0000 0.0000 0.0000 1
Ho1 Ho 0.6667 0.3333 0.5160 1
P1 P 0.3333 0.6667 0.7390 1
# - Crystal system: trigonal
# - DFT total energy: -5.909 eV per atom
# - Polymorph energy (0 for the lowest one): 0.000 eV per formula unit
# - ΔH_f (0 K): -0.94 eV/atom



Record 8
# PBE LaHoP, optimized geometry
data_LaHoP
_cell_length_a 5.859
_cell_length_b 11.615
_cell_length_c 5.836
_cell_angle_alpha 90.00
_cell_angle_beta 90.00
_cell_angle_gamma 90.00
_space_group_name_H-M_alt 'C m c m'
_space_group_IT_number 63
_space_group_name_Hall '-C 2c 2'
loop_
_atom_site_label
_atom_site_type_symbol
_atom_site_fract_x
_atom_site_fract_y
_atom_site_fract_z
_atom_site_occupancy
La1 La 0.000 0.201 0.250 1
Ho1 Ho 0.000 0.500 0.000 1
P1 P 0.000 0.298 0.750 1
# - Crystal system: orthorhombic
# - DFT total energy: -5.518 eV per atom
# - Polymorph energy (0 for the lowest one): 1.171 eV per formula unit
# - ΔH_f (0 K): -0.55 eV/atom



Record 9
# PBE La4HoP5, optimized geometry
data_La4HoP5
_cell_length_a 9.434
_cell_length_b 9.434
_cell_length_c 5.977
_cell_angle_alpha 90.00
_cell_angle_beta 90.00
_cell_angle_gamma 90.00
_space_group_name_H-M_alt 'I 4/m'
_space_group_IT_number 87
_space_group_name_Hall '-I 4'
loop_
_atom_site_label
_atom_site_type_symbol
_atom_site_fract_x
_atom_site_fract_y
_atom_site_fract_z
_atom_site_occupancy
La1 La 0.098 0.299 0.000 1
Ho1 Ho 0.000 0.000 0.500 1
P1 P 0.000 0.000 0.000 1
P2 P 0.097 0.292 0.500 1
# - Crystal system: tetragonal
# - DFT total energy: -6.697 eV per atom
# - ΔH_f (0 K): -1.56 eV/atom



Record 10
# PBE La3Ho2PaP6, optimized geometry
data_La3Ho2PaP6
_cell_length_a 7.106
_cell_length_b 12.308
_cell_length_c 7.175
_cell_angle_alpha 90.00
_cell_angle_beta 109.24
_cell_angle_gamma 90.00
_space_group_name_H-M_alt 'C 1 2/m 1'
_space_group_IT_number 12
loop_
_space_group_symop_operation_xyz
'x,y,z'
'-x,-y,-z'
'-x,y,-z'
'x,-y,z'
'x+1/2,y+1/2,z'
'-x+1/2,-y+1/2,-z'
'-x+1/2,y+1/2,-z'
'x+1/2,-y+1/2,z'
loop_
_atom_site_label
_atom_site_type_symbol
_atom_site_fract_x
_atom_site_fract_y
_atom_site_fract_z
_atom_site_occupancy
La1 La 0.000 0.000 0.000 1
La2 La 0.000 0.332 0.000 1
Ho1 Ho 0.000 0.166 0.500 1
Pa1 Pa 0.000 0.500 0.500 1
P1 P 0.240 0.336 0.730 1
P2 P 0.250 0.000 0.731 1
# - Crystal system: monoclinic
# - DFT total energy: -7.045 eV per atom
# - ΔH_f (0 K): -1.55 eV/atom



Record 11
# PBE LaPm2HoP4, optimized geometry
data_LaPm2HoP4
_cell_length_a 7.156
_cell_length_b 4.136
_cell_length_c 7.159
_cell_angle_alpha 90.00
_cell_angle_beta 109.41
_cell_angle_gamma 90.00
_space_group_name_H-M_alt 'P 1 2/m 1'
_space_group_IT_number 10
loop_
_space_group_symop_operation_xyz
'x,y,z'
'-x,-y,-z'
'-x,y,-z'
'x,-y,z'
loop_
_atom_site_label
_atom_site_type_symbol
_atom_site_fract_x
_atom_site_fract_y
_atom_site_fract_z
_atom_site_occupancy
La1 La 0.000 0.000 0.000 1
Pm1 Pm 0.000 0.500 0.500 1
Pm2 Pm 0.500 0.000 0.500 1
Ho1 Ho 0.500 0.500 0.000 1
P1 P 0.257 0.500 0.251 1
P2 P 0.258 0.000 0.754 1
# - Crystal system: monoclinic
# - DFT total energy: -6.642 eV per atom
# - ΔH_f (0 K): -1.56 eV/atom



Record 12
# PBE La3PrHo2P6, optimized geometry
data_La3PrHo2P6
_cell_length_a 7.222
_cell_length_b 12.508
_cell_length_c 7.222
_cell_angle_alpha 90.00
_cell_angle_beta 109.48
_cell_angle_gamma 90.00
_space_group_name_H-M_alt 'C 1 2/m 1'
_space_group_IT_number 12
loop_
_space_group_symop_operation_xyz
'x,y,z'
'-x,-y,-z'
'-x,y,-z'
'x,-y,z'
'x+1/2,y+1/2,z'
'-x+1/2,-y+1/2,-z'
'-x+1/2,y+1/2,-z'
'x+1/2,-y+1/2,z'
loop_
_atom_site_label
_atom_site_type_symbol
_atom_site_fract_x
_atom_site_fract_y
_atom_site_fract_z
_atom_site_occupancy
La1 La 0.000 0.000 0.000 1
La2 La 0.000 0.334 0.000 1
Pr1 Pr 0.000 0.500 0.500 1
Ho1 Ho 0.000 0.167 0.500 1
P1 P 0.239 0.000 0.739 1
P2 P 0.250 0.170 0.260 1
# - Crystal system: monoclinic
# - DFT total energy: -6.659 eV per atom
# - ΔH_f (0 K): -1.56 eV/atom



Number 11 is which compound?
LaPm2HoP4



The lowest ΔH_f (0 K) belongs to which entry?
LaHo4P5